1.
The following is a DFT calculation (GGA-PBEsol) of an optimized crystal structure of LiHg2Cl.

Properties
excess energy over the best structure of this formula in the dataset	179	meV/atom
space-group type	I-42d
formation energy from raw total energies	-0.583	eV/atom

Cell lengths 4.4674, 7.5694, 7.5694 Å; angles 85.00, 72.84, 72.84 degrees
Fractional coordinates of all 8 atoms:
1 Hg 0.3750 0.3977 0.1023
2 Hg 0.2273 0.8977 0.3977
3 Hg 0.5227 0.1023 0.6023
4 Hg 0.8750 0.6023 0.8977
5 Li 0.5000 0.0000 0.0000
6 Li 0.2500 0.5000 0.5000
7 Cl 0.0000 0.0000 0.0000
8 Cl 0.7500 0.5000 0.5000

***

2.
The following is a DFT calculation (GGA-PBEsol) of an optimized crystal structure of BaPt3Cl.

Properties
space-group type	Pm-3m
formation energy from raw total energies	1.886	eV/atom

Cell lengths 5.2707, 5.2707, 5.2707 Å; angles 90.00, 90.00, 90.00 degrees
Fractional coordinates of all 5 atoms:
1 Pt 0.0000 0.0000 0.5000
2 Pt 0.5000 0.0000 0.0000
3 Pt 0.0000 0.5000 0.0000
4 Ba 0.0000 0.0000 0.0000
5 Cl 0.5000 0.5000 0.5000

***

3.
The following is a DFT calculation (GGA-PBEsol) of an optimized crystal structure of HgMoAu2.

Properties
energy of formation	0.283	eV/atom
space-group type	Pmmm

Cell lengths 2.7978, 4.0771, 6.0533 Å; angles 90.00, 90.03, 90.00 degrees
Fractional coordinates of all 4 atoms:
1 Mo 0.5000 0.5000 0.5000
2 Au 0.0004 0.0000 0.7300
3 Au 0.9996 0.0000 0.2700
4 Hg 0.5000 0.5000 0.0000

***

Which Fermi-level density of states belongs to each record? In order, 0.0; 10.8; 3.1 states/eV per cell.